Entry 1:
Density functional theory data (PBE) for a geometry-optimized PaBW structure.

Cell and atoms, written as POSCAR:
```
PaBW
1.0
5.9335 0.0000 0.0000
0.0000 5.9335 0.0000
0.0000 0.0000 5.9335
Pa B W
4 4 4
Direct
0.0000 0.0000 0.0000 Pa
0.0000 0.5000 0.5000 Pa
0.5000 0.0000 0.5000 Pa
0.5000 0.5000 0.0000 Pa
0.2500 0.2500 0.2500 B
0.2500 0.7500 0.7500 B
0.7500 0.2500 0.7500 B
0.7500 0.7500 0.2500 B
0.0000 0.0000 0.5000 W
0.0000 0.5000 0.0000 W
0.5000 0.0000 0.0000 W
0.5000 0.5000 0.5000 W
```

Values from the calculation:
Distance to the lowest polymorph of the same formula ... 0.000 eV per atom
Magnetic moment ... 0.014 μB/cell

=====

Entry 2:
Density functional theory data (PBE) for a geometry-optimized Ga2Re structure.

Cell and atoms, written as POSCAR:
```
Ga2Re
1.0
0.0000 5.5417 5.5417
5.5417 0.0000 5.5417
5.5417 5.5417 0.0000
Ga Re
4 2
Direct
0.0000 0.0000 0.0000 Ga
0.0000 0.0000 0.5000 Ga
0.0000 0.5000 0.0000 Ga
0.5000 0.0000 0.0000 Ga
0.1250 0.1250 0.1250 Re
0.8750 0.8750 0.8750 Re
```

Values from the calculation:
Magnetic moment ... 0.002 μB/cell

=====

Entry 3:
Density functional theory data (PBE) for a geometry-optimized Zn2InGa2 structure.

Cell and atoms, written as POSCAR:
```
Zn2InGa2
1.0
4.0306 0.0000 0.0000
0.0000 4.0306 0.0000
0.0000 0.0000 11.8736
Zn In Ga
4 2 4
Direct
0.0000 0.0000 0.1040 Zn
0.0000 0.0000 0.8960 Zn
0.5000 0.5000 0.3960 Zn
0.5000 0.5000 0.6040 Zn
0.0000 0.0000 0.5000 In
0.5000 0.5000 0.0000 In
0.0000 0.5000 0.2500 Ga
0.0000 0.5000 0.7500 Ga
0.5000 0.0000 0.2500 Ga
0.5000 0.0000 0.7500 Ga
```

Values from the calculation:
Distance to the lowest polymorph of the same formula ... 0.000 eV per atom

=====

Entry 4:
Density functional theory data (PBE) for a geometry-optimized Dy2YHo structure.

Cell and atoms, written as POSCAR:
```
Dy2YHo
1.0
5.6166 0.0000 0.0000
0.0000 7.2473 0.0000
0.0000 0.0000 12.5551
Dy Y Ho
8 4 4
Direct
0.0000 0.0000 0.0000 Dy
0.0000 0.2501 0.2516 Dy
0.0000 0.2499 0.7516 Dy
0.0000 0.5000 0.5000 Dy
0.0000 0.7499 0.2516 Dy
0.0000 0.7501 0.7516 Dy
0.5000 0.0000 0.3342 Dy
0.5000 0.5000 0.8342 Dy
0.5000 0.2503 0.0840 Y
0.5000 0.2497 0.5840 Y
0.5000 0.7497 0.0840 Y
0.5000 0.7503 0.5840 Y
0.0000 0.0000 0.4998 Ho
0.0000 0.5000 0.9998 Ho
0.5000 0.0000 0.8342 Ho
0.5000 0.5000 0.3342 Ho
```

Values from the calculation:
Formation enthalpy at 0 K ... 0.006 eV per atom
Magnetic moment ... 0.488 μB/cell

=====

Entry 5:
Density functional theory data (PBE) for a geometry-optimized ThReW structure.

Cell and atoms, written as POSCAR:
```
ThReW
1.0
6.5208 0.0000 0.0000
0.0000 6.5208 0.0000
0.0000 0.0000 6.5208
Th Re W
4 4 4
Direct
0.0000 0.0000 0.0000 Th
0.0000 0.5000 0.5000 Th
0.5000 0.0000 0.5000 Th
0.5000 0.5000 0.0000 Th
0.2500 0.2500 0.7500 Re
0.2500 0.7500 0.2500 Re
0.7500 0.2500 0.2500 Re
0.7500 0.7500 0.7500 Re
0.0000 0.0000 0.5000 W
0.0000 0.5000 0.0000 W
0.5000 0.0000 0.0000 W
0.5000 0.5000 0.5000 W
```

Values from the calculation:
Distance to the lowest polymorph of the same formula ... 0.000 eV per atom
Formation enthalpy at 0 K ... 0.700 eV per atom
Magnetic moment ... 0.019 μB/cell

=====

Entry 6:
Density functional theory data (PBE) for a geometry-optimized PrZnCu structure.

Cell and atoms, written as POSCAR:
```
PrZnCu
1.0
4.4876 0.0000 0.0000
0.0000 7.2135 0.0000
0.0000 0.0000 7.6580
Pr Zn Cu
4 4 4
Direct
0.0000 0.0000 0.0000 Pr
0.0000 0.5000 0.0588 Pr
0.5000 0.0000 0.5588 Pr
0.5000 0.5000 0.5000 Pr
0.0000 0.2073 0.3622 Zn
0.0000 0.7927 0.3622 Zn
0.5000 0.2927 0.8622 Zn
0.5000 0.7073 0.8622 Zn
0.0000 0.2924 0.6958 Cu
0.0000 0.7076 0.6958 Cu
0.5000 0.2076 0.1958 Cu
0.5000 0.7924 0.1958 Cu
```

Values from the calculation:
Formation enthalpy at 0 K ... -0.271 eV per atom
Magnetic moment ... 0.001 μB/cell

=====

Entry 7:
Density functional theory data (PBE) for a geometry-optimized BaPrY structure.

Cell and atoms, written as POSCAR:
```
BaPrY
1.0
8.3338 0.0000 0.0000
0.0000 8.3338 0.0000
0.0000 0.0000 8.3338
Ba Pr Y
4 4 4
Direct
0.0000 0.0000 0.0000 Ba
0.0000 0.5000 0.5000 Ba
0.5000 0.0000 0.5000 Ba
0.5000 0.5000 0.0000 Ba
0.0000 0.0000 0.5000 Pr
0.0000 0.5000 0.0000 Pr
0.5000 0.0000 0.0000 Pr
0.5000 0.5000 0.5000 Pr
0.2500 0.2500 0.2500 Y
0.2500 0.7500 0.7500 Y
0.7500 0.2500 0.7500 Y
0.7500 0.7500 0.2500 Y
```

Values from the calculation:
Distance to the lowest polymorph of the same formula ... 0.000 eV per atom
Magnetic moment ... 0.150 μB/cell

=====

Entry 8:
Density functional theory data (PBE) for a geometry-optimized Tb3BiP2 structure.

Cell and atoms, written as POSCAR:
```
Tb3BiP2
1.0
4.0859 0.0000 0.0000
-2.0429 3.5385 0.0000
0.0000 0.0000 10.6332
Tb Bi P
3 1 2
Direct
0.0000 0.0000 0.0000 Tb
0.3333 0.6667 0.2977 Tb
0.6667 0.3333 0.7023 Tb
0.0000 0.0000 0.5000 Bi
0.3333 0.6667 0.8455 P
0.6667 0.3333 0.1545 P
```

Values from the calculation:
Magnetic moment ... 0.006 μB/cell

=====

| no. | energy (eV/atom) |
| --- | --- |
| 1 | -9.324 |
| 2 | -4.695 |
| 3 | -2.233 |
| 4 | -5.056 |
| 5 | -10.232 |
| 6 | -3.523 |
| 7 | -3.599 |
| 8 | -6.145 |